Version 1
SrTe2Ir | GGA-PBEsol | optimized geometry

```
data_SrTe2Ir
_cell_length_a 5.974
_cell_length_b 5.974
_cell_length_c 5.974
_cell_angle_alpha 141.77
_cell_angle_beta 122.37
_cell_angle_gamma 71.28
_space_group_name_H-M_alt 'P 1'
_space_group_IT_number 1
loop_
_space_group_symop_operation_xyz
'x,y,z'
loop_
_atom_site_label
_atom_site_type_symbol
_atom_site_fract_x
_atom_site_fract_y
_atom_site_fract_z
Sr1 Sr 0.000 0.000 0.000
Te1 Te 0.323 0.823 0.500
Te2 Te 0.677 0.177 0.500
Ir1 Ir 0.500 0.500 0.000
```

## Properties
* crystal system: orthorhombic
* DOS at the Fermi energy: 0.70 states/eV per atom

Version 2
SrTe2Ir | GGA-PBEsol | optimized geometry

```
data_SrTe2Ir
_cell_length_a 6.602
_cell_length_b 6.602
_cell_length_c 6.602
_cell_angle_alpha 104.57
_cell_angle_beta 104.57
_cell_angle_gamma 119.80
_space_group_name_H-M_alt 'P 1'
_space_group_IT_number 1
loop_
_space_group_symop_operation_xyz
'x,y,z'
loop_
_atom_site_label
_atom_site_type_symbol
_atom_site_fract_x
_atom_site_fract_y
_atom_site_fract_z
Sr1 Sr 0.000 0.000 0.000
Sr2 Sr 0.750 0.250 0.500
Te1 Te 0.206 0.625 0.081
Te2 Te 0.375 0.456 0.581
Te3 Te 0.544 0.125 0.919
Te4 Te 0.875 0.794 0.419
Ir1 Ir 0.250 0.750 0.500
Ir2 Ir 0.500 0.500 0.000
```

## Properties
* crystal system: tetragonal
* DOS at the Fermi energy: 0.94 states/eV per atom

Version 3
SrTe2Ir | GGA-PBEsol | optimized geometry

```
data_SrTe2Ir
_cell_length_a 3.889
_cell_length_b 3.889
_cell_length_c 6.734
_cell_angle_alpha 90.00
_cell_angle_beta 90.00
_cell_angle_gamma 90.00
_space_group_name_H-M_alt 'P 1'
_space_group_IT_number 1
loop_
_space_group_symop_operation_xyz
'x,y,z'
loop_
_atom_site_label
_atom_site_type_symbol
_atom_site_fract_x
_atom_site_fract_y
_atom_site_fract_z
Sr1 Sr 0.000 0.000 0.000
Te1 Te 0.000 0.000 0.536
Te2 Te 0.500 0.500 0.224
Ir1 Ir 0.500 0.500 0.619
```

## Properties
* crystal system: tetragonal
* DOS at the Fermi energy: 0.74 states/eV per atom

version 2 has the most favorable energy; the next structure is 4.9 kJ/mol of atoms above.

Version 1
SrTe2Ir | GGA-PBEsol | optimized geometry

```
data_SrTe2Ir
_cell_length_a 5.971
_cell_length_b 5.971
_cell_length_c 5.851
_cell_angle_alpha 116.94
_cell_angle_beta 116.94
_cell_angle_gamma 38.71
_space_group_name_H-M_alt 'P 1'
_space_group_IT_number 1
loop_
_space_group_symop_operation_xyz
'x,y,z'
loop_
_atom_site_label
_atom_site_type_symbol
_atom_site_fract_x
_atom_site_fract_y
_atom_site_fract_z
Sr1 Sr 0.000 0.000 0.000
Te1 Te 0.160 0.160 0.664
Te2 Te 0.344 0.344 0.324
Ir1 Ir 0.732 0.732 0.995
```

## Properties
* crystal system: monoclinic
* DOS at the Fermi energy: 0.62 states/eV per atom

Version 2
SrTe2Ir | GGA-PBEsol | optimized geometry

```
data_SrTe2Ir
_cell_length_a 7.121
_cell_length_b 7.121
_cell_length_c 7.121
_cell_angle_alpha 34.81
_cell_angle_beta 34.81
_cell_angle_gamma 34.81
_space_group_name_H-M_alt 'P 1'
_space_group_IT_number 1
loop_
_space_group_symop_operation_xyz
'x,y,z'
loop_
_atom_site_label
_atom_site_type_symbol
_atom_site_fract_x
_atom_site_fract_y
_atom_site_fract_z
Sr1 Sr 0.000 0.000 0.000
Te1 Te 0.226 0.226 0.226
Te2 Te 0.774 0.774 0.774
Ir1 Ir 0.500 0.500 0.500
```

## Properties
* crystal system: trigonal
* DOS at the Fermi energy: 0.65 states/eV per atom

version 1 has the most favorable energy; the next structure is 1.1 kJ/mol of atoms above.

Version 1
SrIrW2 | GGA-PBEsol | optimized geometry

```
data_SrIrW2
_cell_length_a 2.918
_cell_length_b 3.100
_cell_length_c 8.442
_cell_angle_alpha 90.00
_cell_angle_beta 94.30
_cell_angle_gamma 90.00
_space_group_name_H-M_alt 'P 1'
_space_group_IT_number 1
loop_
_space_group_symop_operation_xyz
'x,y,z'
loop_
_atom_site_label
_atom_site_type_symbol
_atom_site_fract_x
_atom_site_fract_y
_atom_site_fract_z
Sr1 Sr 0.000 0.000 0.000
Ir1 Ir 0.455 0.500 0.724
W1 W 0.499 0.500 0.326
W2 W 0.895 0.000 0.535
```

## Properties
* crystal system: monoclinic
* DOS at the Fermi energy: 0.98 states/eV per atom

Version 2
SrIrW2 | GGA-PBEsol | optimized geometry

```
data_SrIrW2
_cell_length_a 2.798
_cell_length_b 3.829
_cell_length_c 7.499
_cell_angle_alpha 90.00
_cell_angle_beta 90.00
_cell_angle_gamma 90.00
_space_group_name_H-M_alt 'P 1'
_space_group_IT_number 1
loop_
_space_group_symop_operation_xyz
'x,y,z'
loop_
_atom_site_label
_atom_site_type_symbol
_atom_site_fract_x
_atom_site_fract_y
_atom_site_fract_z
Sr1 Sr 0.000 0.000 0.000
Ir1 Ir 0.000 0.000 0.500
W1 W 0.500 0.500 0.331
W2 W 0.500 0.500 0.669
```

## Properties
* crystal system: orthorhombic
* DOS at the Fermi energy: 1.01 states/eV per atom

version 1 has the most favorable energy; the next structure is 20.4 kJ/mol of atoms above.